No. 1
VASP calculation (PBE-GGA) on a relaxed structure of TlZnP3O9.

Unit cell a=5.037 b=11.781 c=12.965 alpha=90.00 beta=90.00 gamma=90.00
Space group Pbcm (No. 57)
Unique sites:
Tl 0.084 0.148 0.250 x4
Zn 0.000 0.000 0.000 x4
P 0.256 0.750 0.000 x4
P 0.478 0.080 0.636 x8
O 0.104 0.657 0.052 x8
O 0.183 0.064 0.634 x8
O 0.343 0.012 0.097 x8
O 0.429 0.615 0.750 x4
O 0.461 0.701 0.583 x8

***

No. 2
VASP calculation (PBE-GGA) on a relaxed structure of TlZnPO.

Unit cell a=3.896 b=6.296 c=6.281 alpha=90.00 beta=90.00 gamma=90.00
Space group Pmc2_1 (No. 26)
Unique sites:
Tl 0.000 0.167 0.000 x2
Zn 0.500 0.306 0.440 x2
P 0.500 0.339 0.814 x2
O 0.000 0.178 0.363 x2

***

No. 3
VASP calculation (PBE-GGA) on a relaxed structure of TlZnPO.

Unit cell a=3.972 b=3.972 c=8.874 alpha=90.00 beta=90.00 gamma=90.00
Space group P4/nmm (No. 129, origin choice 2)
Unique sites:
Tl 0.250 0.250 0.128 x2
Zn 0.250 0.750 0.500 x2
P 0.250 0.250 0.667 x2
O 0.250 0.750 0.000 x2

***

No. 4
VASP calculation (PBE-GGA) on a relaxed structure of ZrTlPO.

Unit cell a=4.468 b=4.468 c=7.665 alpha=90.00 beta=90.00 gamma=90.00
Space group P4/nmm (No. 129, origin choice 2)
Unique sites:
Zr 0.250 0.750 0.000 x2
Tl 0.250 0.250 0.379 x2
P 0.250 0.250 0.837 x2
O 0.250 0.750 0.500 x2

***

No. 5
VASP calculation (PBE-GGA) on a relaxed structure of ZrTlPO.

Unit cell a=3.693 b=9.162 c=5.332 alpha=90.00 beta=90.00 gamma=90.00
Space group Pmc2_1 (No. 26)
Unique sites:
Zr 0.000 0.141 0.000 x2
Tl 0.500 0.372 0.510 x2
P 0.000 0.136 0.500 x2
O 0.500 0.238 0.000 x2

***

No. 6
VASP calculation (PBE-GGA) on a relaxed structure of ZrTlPO.

Unit cell a=3.834 b=3.834 c=10.145 alpha=90.00 beta=90.00 gamma=90.00
Space group P4/nmm (No. 129, origin choice 2)
Unique sites:
Zr 0.250 0.250 0.113 x2
Tl 0.250 0.750 0.500 x2
P 0.250 0.250 0.759 x2
O 0.250 0.750 0.000 x2

***

No. 7
VASP calculation (PBE-GGA) on a relaxed structure of ZrTlPO.

Unit cell a=5.246 b=5.246 c=5.080 alpha=90.00 beta=90.00 gamma=90.00
Space group P4/nmm (No. 129, origin choice 2)
Unique sites:
Zr 0.250 0.750 0.000 x2
Tl 0.250 0.250 0.414 x2
P 0.250 0.250 0.899 x2
O 0.250 0.750 0.500 x2

***

No. 8
VASP calculation (PBE-GGA) on a relaxed structure of TmP3O9.

Unit cell a=14.051 b=6.804 c=9.799 alpha=90.00 beta=126.99 gamma=90.00
Space group C2/c (No. 15)
Unique sites:
Tm 0.250 0.250 0.000 x4
P 0.000 0.069 0.250 x4
P 0.101 0.396 0.171 x8
O 0.000 0.500 0.000 x4
O 0.026 0.205 0.145 x8
O 0.109 0.043 0.882 x8
O 0.131 0.486 0.822 x8
O 0.202 0.338 0.167 x8

***

No. 9
VASP calculation (PBE-GGA) on a relaxed structure of Tm4PO3.

Unit cell a=5.008 b=5.008 c=9.765 alpha=90.00 beta=90.00 gamma=90.00
Space group I4/mmm (No. 139)
Unique sites:
Tm 0.000 0.000 0.237 x4
Tm 0.000 0.500 0.000 x4
P 0.000 0.000 0.500 x2
O 0.000 0.000 0.000 x2
O 0.000 0.500 0.250 x4

***

No. 10
VASP calculation (PBE-GGA) on a relaxed structure of YTmPO.

Unit cell a=3.8770 b=3.8770 c=37.9737 alpha=90.00 beta=90.00 gamma=120.00
Space group R-3m (No. 166, hexagonal axes)
Unique sites:
Y 0.0000 0.0000 0.1292 x6
Tm 0.0000 0.0000 0.2926 x6
P 0.0000 0.0000 0.4111 x6
O 0.0000 0.0000 0.1894 x6

***

No. 11
VASP calculation (PBE-GGA) on a relaxed structure of YTmPO.

Unit cell a=4.301 b=4.301 c=8.383 alpha=90.00 beta=90.00 gamma=90.00
Space group P4/nmm (No. 129, origin choice 2)
Unique sites:
Y 0.250 0.750 0.000 x2
Tm 0.250 0.250 0.404 x2
P 0.250 0.250 0.798 x2
O 0.250 0.750 0.500 x2

***

No. 12
VASP calculation (PBE-GGA) on a relaxed structure of YTmPO.

Unit cell a=4.290 b=4.290 c=8.493 alpha=90.00 beta=90.00 gamma=90.00
Space group P4/nmm (No. 129, origin choice 2)
Unique sites:
Y 0.250 0.250 0.106 x2
Tm 0.250 0.750 0.500 x2
P 0.250 0.250 0.692 x2
O 0.250 0.750 0.000 x2

***

No. 13
VASP calculation (PBE-GGA) on a relaxed structure of YTmPO.

Unit cell a=4.126 b=7.553 c=5.433 alpha=90.00 beta=90.00 gamma=90.00
Space group Pmc2_1 (No. 26)
Unique sites:
Y 0.000 0.132 0.000 x2
Tm 0.500 0.289 0.474 x2
P 0.500 0.352 0.972 x2
O 0.000 0.170 0.448 x2

***

No. 14
VASP calculation (PBE-GGA) on a relaxed structure of TmZrPO.

Unit cell a=4.160 b=7.230 c=4.968 alpha=90.00 beta=90.00 gamma=90.00
Space group Pmc2_1 (No. 26)
Unique sites:
Tm 0.000 0.151 0.000 x2
Zr 0.500 0.250 0.499 x2
P 0.500 0.382 0.999 x2
O 0.000 0.162 0.498 x2

***

No. 15
VASP calculation (PBE-GGA) on a relaxed structure of TmZrPO.

Unit cell a=4.116 b=4.116 c=8.403 alpha=90.00 beta=90.00 gamma=90.00
Space group P4/nmm (No. 129, origin choice 2)
Unique sites:
Tm 0.250 0.250 0.112 x2
Zr 0.250 0.750 0.500 x2
P 0.250 0.250 0.692 x2
O 0.250 0.750 0.000 x2

***

No. 16
VASP calculation (PBE-GGA) on a relaxed structure of TmZrPO.

Unit cell a=3.985 b=3.985 c=8.325 alpha=90.00 beta=90.00 gamma=90.00
Space group P4/nmm (No. 129, origin choice 2)
Unique sites:
Tm 0.250 0.750 0.000 x2
Zr 0.250 0.250 0.371 x2
P 0.250 0.250 0.776 x2
O 0.250 0.750 0.500 x2

***

No. 17
VASP calculation (PBE-GGA) on a relaxed structure of TmZrPO.

Unit cell a=4.111 b=4.111 c=8.411 alpha=90.00 beta=90.00 gamma=90.00
Space group P4/nmm (No. 129, origin choice 2)
Unique sites:
Tm 0.250 0.250 0.112 x2
Zr 0.250 0.750 0.500 x2
P 0.250 0.250 0.693 x2
O 0.250 0.750 0.000 x2

***

No. 18
VASP calculation (PBE-GGA) on a relaxed structure of Zn2P2O7.

Unit cell a=4.488 b=5.215 c=5.386 alpha=103.33 beta=98.62 gamma=99.00
Space group P1 (No. 1)
Unique sites:
Zn 0.000 0.000 0.000 x1
Zn 0.022 0.366 0.601 x1
P 0.423 0.900 0.510 x1
P 0.608 0.467 0.078 x1
O 0.236 0.069 0.375 x1
O 0.241 0.742 0.662 x1
O 0.300 0.296 0.919 x1
O 0.520 0.699 0.282 x1
O 0.729 0.065 0.678 x1
O 0.791 0.305 0.224 x1
O 0.796 0.611 0.917 x1

***

No. 19
VASP calculation (PBE-GGA) on a relaxed structure of ZnPO3.

Unit cell a=4.977 b=8.630 c=5.430 alpha=90.00 beta=107.42 gamma=90.00
Space group C2/m (No. 12)
Unique sites:
Zn 0.000 0.167 0.000 x4
P 0.073 0.500 0.200 x4
O 0.212 0.500 0.734 x4
O 0.246 0.346 0.253 x8

***

No. 20
VASP calculation (PBE-GGA) on a relaxed structure of Zn2P2O7.

Unit cell a=6.555 b=8.290 c=4.491 alpha=90.00 beta=104.49 gamma=90.00
Space group C2/m (No. 12)
Unique sites:
Zn 0.000 0.191 0.000 x4
P 0.217 0.500 0.407 x4
O 0.000 0.500 0.500 x2
O 0.118 0.000 0.285 x4
O 0.224 0.346 0.222 x8

***

Number 1: E_tot -6.556 eV per atom. Number 2: E_tot -3.828 eV per atom. Number 3: E_tot -3.601 eV per atom. Number 4: E_tot -5.870 eV per atom. Number 5: E_tot -6.591 eV per atom. Number 6: E_tot -6.331 eV per atom. Number 7: E_tot -6.096 eV per atom. Number 8: E_tot -7.549 eV per atom. Number 9: E_tot -7.138 eV per atom. Number 10: E_tot -7.446 eV per atom. Number 11: E_tot -7.223 eV per atom. Number 12: E_tot -7.254 eV per atom. Number 13: E_tot -7.342 eV per atom. Number 14: E_tot -7.675 eV per atom. Number 15: E_tot -7.861 eV per atom. Number 16: E_tot -7.360 eV per atom. Number 17: E_tot -7.860 eV per atom. Number 18: E_tot -6.316 eV per atom. Number 19: E_tot -5.907 eV per atom. Number 20: E_tot -6.314 eV per atom.